1.
Compound: U2Al6Pd3Pt
Source: the Alexandria database
Functional: PBE-GGA
Structure: optimized geometry

Geometry as CIF:
```
data_U2Al6Pd3Pt
_chemical_formula_sum 'U2 Al6 Pd3 Pt1'
_space_group_name_H-M_alt 'P 1'
_space_group_IT_number 1
_cell_length_a 4.235
_cell_length_b 5.378
_cell_length_c 9.303
_cell_angle_alpha 90.00
_cell_angle_beta 90.00
_cell_angle_gamma 90.00
loop_
_space_group_symop_operation_xyz
'x,y,z'
loop_
_atom_site_label
_atom_site_type_symbol
_atom_site_fract_x
_atom_site_fract_y
_atom_site_fract_z
U1 U 0.000 0.000 0.000
U2 U 0.000 0.500 0.497
Al1 Al 0.500 0.000 0.499
Al2 Al 0.500 0.250 0.748
Al3 Al 0.500 0.251 0.249
Al4 Al 0.500 0.500 0.998
Al5 Al 0.500 0.749 0.249
Al6 Al 0.500 0.750 0.748
Pd1 Pd 0.000 0.000 0.668
Pd2 Pd 0.000 0.500 0.162
Pd3 Pd 0.000 0.500 0.832
Pt1 Pt 0.000 0.000 0.332
```

Results
formation energy	-0.62	eV per atom
density	9.03	g/cm³
total magnetic moment	4.40	μB per cell

2.
Compound: Ba5CdIn
Source: the Alexandria database
Functional: PBE-GGA
Structure: optimized geometry

Geometry as CIF:
```
data_Ba5CdIn
_chemical_formula_sum 'Ba10 Cd2 In2'
_space_group_name_H-M_alt 'P 1'
_space_group_IT_number 1
_cell_length_a 7.735
_cell_length_b 7.735
_cell_length_c 11.873
_cell_angle_alpha 92.89
_cell_angle_beta 92.89
_cell_angle_gamma 89.89
loop_
_space_group_symop_operation_xyz
'x,y,z'
loop_
_atom_site_label
_atom_site_type_symbol
_atom_site_fract_x
_atom_site_fract_y
_atom_site_fract_z
Ba1 Ba 0.056 0.623 0.334
Ba2 Ba 0.154 0.846 0.750
Ba3 Ba 0.252 0.407 0.994
Ba4 Ba 0.377 0.944 0.166
Ba5 Ba 0.407 0.252 0.494
Ba6 Ba 0.593 0.748 0.506
Ba7 Ba 0.623 0.056 0.834
Ba8 Ba 0.748 0.593 0.006
Ba9 Ba 0.846 0.154 0.250
Ba10 Ba 0.944 0.377 0.666
Cd1 Cd 0.000 0.000 0.000
Cd2 Cd 0.000 0.000 0.500
In1 In 0.485 0.515 0.750
In2 In 0.515 0.485 0.250
```

Results
formation energy	-0.14	eV per atom
density	4.28	g/cm³
total magnetic moment	0.00	μB per cell

3.
Compound: Mg2MoPt
Source: the Alexandria database
Functional: PBE-GGA
Structure: optimized geometry

Geometry as CIF:
```
data_Mg2MoPt
_chemical_formula_sum 'Mg2 Mo1 Pt1'
_space_group_name_H-M_alt 'P 1'
_space_group_IT_number 1
_cell_length_a 4.978
_cell_length_b 4.978
_cell_length_c 5.092
_cell_angle_alpha 98.55
_cell_angle_beta 98.55
_cell_angle_gamma 32.92
loop_
_space_group_symop_operation_xyz
'x,y,z'
loop_
_atom_site_label
_atom_site_type_symbol
_atom_site_fract_x
_atom_site_fract_y
_atom_site_fract_z
Mg1 Mg 0.000 0.000 0.000
Mg2 Mg 0.237 0.237 0.763
Mo1 Mo 0.758 0.758 0.283
Pt1 Pt 0.498 0.498 0.479
```

Results
formation energy	-0.07	eV per atom
density	8.32	g/cm³
total magnetic moment	0.00	μB per cell
ΔE to the lowest computed polymorph	12.9	kJ per mole of atoms

4.
Compound: Ac3Pr7Tm2
Source: the Alexandria database
Functional: PBE-GGA
Structure: optimized geometry

Geometry as CIF:
```
data_Ac3Pr7Tm2
_chemical_formula_sum 'Ac3 Pr7 Tm2'
_space_group_name_H-M_alt 'P 1'
_space_group_IT_number 1
_cell_length_a 3.800
_cell_length_b 5.878
_cell_length_c 21.176
_cell_angle_alpha 90.00
_cell_angle_beta 95.16
_cell_angle_gamma 90.00
loop_
_space_group_symop_operation_xyz
'x,y,z'
loop_
_atom_site_label
_atom_site_type_symbol
_atom_site_fract_x
_atom_site_fract_y
_atom_site_fract_z
Ac1 Ac 0.000 0.000 0.000
Ac2 Ac 0.325 0.500 0.649
Ac3 Ac 0.675 0.500 0.351
Pr1 Pr 0.089 0.500 0.178
Pr2 Pr 0.218 0.000 0.436
Pr3 Pr 0.429 0.000 0.857
Pr4 Pr 0.500 0.500 0.000
Pr5 Pr 0.571 0.000 0.143
Pr6 Pr 0.782 0.000 0.564
Pr7 Pr 0.911 0.500 0.822
Tm1 Tm 0.140 0.000 0.280
Tm2 Tm 0.860 0.000 0.720
```

Results
formation energy	0.21	eV per atom
density	7.07	g/cm³
total magnetic moment	0.00	μB per cell